No. 1
Material: Cs3TlAg2Cl6
Method: DFT, PBE-GGA
State: optimized geometry

Output
space group: No. 164

Structure (extended XYZ):
```
12
Lattice="8.344 0.000 0.000 -4.172 7.226 0.000 0.000 0.000 9.078" Properties=species:S:1:pos:R:3 pbc="T T T"
Cs 0.000 4.818 5.902
Cs 4.172 2.409 3.176
Cs 0.000 0.000 0.000
Tl 0.000 0.000 4.539
Ag 4.172 2.409 6.893
Ag 0.000 4.818 2.185
Cl 2.120 6.042 2.518
Cl 0.000 2.370 2.518
Cl -2.120 6.042 2.518
Cl 4.172 4.857 6.560
Cl 2.052 1.185 6.560
Cl 6.292 1.185 6.560
```

***

No. 2
Material: Cs3Tl2AgCl9
Method: DFT, PBE-GGA
State: optimized geometry

Output
space group: No. 164

Structure (extended XYZ):
```
15
Lattice="-4.036 -5.571 -3.400 6.102 3.024 -3.538 5.538 -6.468 4.023" Properties=species:S:1:pos:R:3 pbc="T T T"
Cs 6.385 -4.118 -0.831
Cs 0.000 0.000 0.000
Cs 1.219 -4.897 -2.084
Tl 3.704 -0.987 -2.779
Tl 3.900 -8.028 -0.136
Ag 2.769 -3.234 2.012
Cl 1.311 -8.471 -0.744
Cl 4.417 -6.931 -2.545
Cl 3.365 -5.635 0.987
Cl 4.239 -3.380 -3.902
Cl 3.187 -2.083 -0.370
Cl 6.293 -0.543 -2.171
Cl -2.018 -2.786 -1.700
Cl 3.051 1.512 -1.769
Cl 1.033 -1.273 -3.469
```

***

No. 3
Material: CsTlAgCl3
Method: DFT, PBE-GGA
State: optimized geometry

Output
space group: No. 11

Structure (extended XYZ):
```
12
Lattice="-0.892 3.470 -2.690 -6.196 -5.692 -5.288 -6.516 3.680 6.909" Properties=species:S:1:pos:R:3 pbc="T T T"
Cs -10.951 0.800 -0.933
Cs -2.653 0.659 -0.136
Tl -5.248 -2.202 -2.966
Tl -8.356 3.661 1.897
Ag -4.921 2.456 2.935
Ag -8.683 -0.998 -4.004
Cl -8.651 -2.011 -1.591
Cl -7.118 -1.946 -5.746
Cl -4.173 0.751 -3.243
Cl -4.953 3.470 0.522
Cl -9.431 0.707 2.174
Cl -6.486 3.404 4.677
```

***

No. 4
Material: Cs2TlAgCl4
Method: DFT, PBE-GGA
State: optimized geometry

Output
space group: No. 63

Structure (extended XYZ):
```
16
Lattice="4.679 0.000 0.000 -2.339 8.773 0.000 0.000 0.000 17.099" Properties=species:S:1:pos:R:3 pbc="T T T"
Cs 0.000 6.545 9.299
Cs 2.339 2.228 0.749
Cs 2.339 2.228 7.800
Cs 0.000 6.545 16.350
Tl 0.000 3.176 12.824
Tl 2.339 5.598 4.275
Ag 2.339 5.835 12.824
Ag 0.000 2.939 4.275
Cl 0.000 4.669 2.256
Cl 2.339 4.105 10.805
Cl 2.339 4.105 14.843
Cl 0.000 4.669 6.294
Cl 0.000 0.000 8.549
Cl 0.000 0.000 0.000
Cl 0.000 6.885 12.824
Cl 2.339 1.888 4.275
```

***

No. 5
Material: Cs2TlAgCl6
Method: DFT, PBE-GGA
State: optimized geometry

Output
space group: No. 225

Structure (extended XYZ):
```
10
Lattice="-7.405 -0.526 -1.621 -3.788 -6.397 1.571 -5.120 -0.102 5.613" Properties=species:S:1:pos:R:3 pbc="T T T"
Cs -12.235 -5.269 4.172
Cs -4.078 -1.756 1.391
Tl 0.000 0.000 0.000
Ag -8.157 -3.512 2.782
Cl -7.778 -2.007 0.562
Cl -6.626 -1.794 4.209
Cl -8.536 -5.018 5.001
Cl -5.955 -4.966 2.171
Cl -10.359 -2.059 3.392
Cl -9.687 -5.231 1.354
```

***

No. 6
Material: CsTlAg2Cl6
Method: DFT, PBE-GGA
State: optimized geometry

Output
space group: No. 1

Structure (extended XYZ):
```
10
Lattice="7.146 0.003 0.010 3.575 6.178 0.001 3.579 2.057 6.587" Properties=species:S:1:pos:R:3 pbc="T T T"
Cs 10.722 6.180 4.252
Tl 3.574 2.060 0.091
Ag 7.145 4.120 2.878
Ag 10.718 6.186 0.105
Cl 5.878 2.135 1.461
Cl 6.074 6.202 1.456
Cl 9.503 4.005 1.474
Cl 7.434 6.116 4.934
Cl 8.736 2.882 4.927
Cl 5.285 3.369 4.928
```

***

Result set for uncorrected formation energy: -14.8, -18.8, -6.9, -10.6, -12.2, -8.4 eV per formula unit, one per record in the order listed.